Entry from the Alexandria database: crystalline ZrCrPO2 at its relaxed geometry (GGA+U).

E above lowest polymorph: 18.8 kJ per mole of atoms

Unit cell a=3.8269 b=3.8269 c=4.7352 alpha=90.00 beta=90.00 gamma=90.00
With the nearest neighbours (Å) after each atom.
Space group P4/mmm (No. 123)
One atom of each set of equivalent atoms:
Zr: 0.0000 0.0000 0.0000 (multiplicity 1)  4 P 2.71
Cr: 0.5000 0.5000 0.5000 (multiplicity 1)  4 O 1.91
P: 0.5000 0.5000 0.0000 (multiplicity 1)  2 Cr 2.37
O: 0.0000 0.5000 0.5000 (multiplicity 2)  2 Cr 1.91